(1)
The following is a PBE-GGA calculation of an optimized crystal structure of KBaCdS2, from the Alexandria database.

Summary:
Raw formation energy in eV per atom: -0.97
Magnetization in μB per cell: 0.00

Cell: 7.680 5.173 8.407 Å, 90.00 101.29 90.00°
Space group P2/c (No. 13)
Unique sites:
K (0.000, 0.015, 0.250) x2
Ba (0.500, 0.290, 0.750) x2
Cd (0.000, 0.500, 0.000) x2
S (0.289, 0.217, 0.044) x4


(2)
The following is a PBE-GGA calculation of an optimized crystal structure of K2BaCdSb2, from the Alexandria database.

Summary:
Raw formation energy in eV per atom: -0.64
Magnetization in μB per cell: 0.00

Cell: 5.095 10.005 8.651 Å, 90.00 90.00 90.00°
Space group Pmc2_1 (No. 26)
Unique sites:
K (0.000, 0.082, 0.000) x2
K (0.500, 0.162, 0.328) x2
Ba (0.500, 0.449, 0.976) x2
Cd (0.000, 0.322, 0.633) x2
Sb (0.000, 0.388, 0.266) x2
Sb (0.500, 0.179, 0.719) x2


(3)
The following is a PBE-GGA calculation of an optimized crystal structure of KBaCdSb, from the Alexandria database.

Summary:
Raw formation energy in eV per atom: -0.54
Magnetization in μB per cell: 0.00

Cell: 8.407 8.407 8.407 Å, 90.00 90.00 90.00°
Space group F-43m (No. 216)
Unique sites:
K (0.000, 0.000, 0.000) x4
Ba (0.000, 0.000, 0.500) x4
Cd (0.250, 0.250, 0.250) x4
Sb (0.250, 0.250, 0.750) x4


(4)
The following is a PBE-GGA calculation of an optimized crystal structure of KBa2Cd2Sb3, from the Alexandria database.

Summary:
Raw formation energy in eV per atom: -0.71
Magnetization in μB per cell: 0.00

Cell: 13.349 5.014 17.000 Å, 90.00 90.00 90.00°
Space group Pnma (No. 62)
Unique sites:
K (0.102, 0.250, 0.054) x4
Ba (0.100, 0.750, 0.429) x4
Ba (0.128, 0.250, 0.790) x4
Cd (0.135, 0.250, 0.284) x4
Cd (0.195, 0.250, 0.584) x4
Sb (0.078, 0.750, 0.635) x4
Sb (0.134, 0.750, 0.197) x4
Sb (0.213, 0.750, 0.925) x4


(5)
The following is a PBE-GGA calculation of an optimized crystal structure of KBaCdSn, from the Alexandria database.

Summary:
DFT total energy in eV per formula unit: -8.95
Magnetization in μB per cell: 0.00

Cell: 8.408 8.408 8.408 Å, 90.00 90.00 90.00°
Space group F-43m (No. 216)
Unique sites:
K (0.000, 0.000, 0.000) x4
Ba (0.000, 0.000, 0.500) x4
Cd (0.250, 0.250, 0.250) x4
Sn (0.250, 0.250, 0.750) x4


(6)
The following is a PBE-GGA calculation of an optimized crystal structure of KBa2Cd2Sn2, from the Alexandria database.

Summary:
DFT total energy in eV per formula unit: -17.13
Magnetization in μB per cell: 1.63

Cell: 5.1957 5.1957 33.7856 Å, 90.00 90.00 120.00°
Space group R-3m (No. 166, hexagonal axes)
Unique sites:
K (0.0000, 0.0000, 0.0000) x3
Ba (0.0000, 0.0000, 0.1288) x6
Cd (0.0000, 0.0000, 0.4042) x6
Sn (0.0000, 0.0000, 0.2556) x6


> Among the records above, which one has the highest magnetization?

KBa2Cd2Sn2